Model w:
# CaCoF3 | Alexandria via LeMat-Bulk | GGA+U | optimized geometry
# Symmetry   No. 221
# Crystal system   cubic
# ρ   3.007 Mg/m³
# Total magnetization   0.643 μB per atom
data_CaCoF3
_chemical_formula_sum 'Ca1 Co1 F3'
_space_group_name_H-M_alt 'P 1'
_space_group_IT_number 1
_cell_length_a 4.417
_cell_length_b 4.417
_cell_length_c 4.417
_cell_angle_alpha 90.00
_cell_angle_beta 90.00
_cell_angle_gamma 90.00
loop_
_space_group_symop_operation_xyz
'x,y,z'
loop_
_atom_site_label
_atom_site_fract_x
_atom_site_fract_y
_atom_site_fract_z
Ca1 0.000 0.000 0.000
Co1 0.500 0.500 0.500
F1 0.000 0.500 0.000
F2 0.000 0.000 0.500
F3 0.500 0.000 0.000

Model x:
# CaCoF3 | Alexandria via LeMat-Bulk | GGA+U | optimized geometry
# Symmetry   No. 221
# Crystal system   cubic
# ρ   3.715 Mg/m³
# Total magnetization   0.426 μB per atom
data_CaCoF3
_chemical_formula_sum 'Ca1 Co1 F3'
_space_group_name_H-M_alt 'P 1'
_space_group_IT_number 1
_cell_length_a 4.116
_cell_length_b 4.116
_cell_length_c 4.116
_cell_angle_alpha 90.00
_cell_angle_beta 90.00
_cell_angle_gamma 90.00
loop_
_space_group_symop_operation_xyz
'x,y,z'
loop_
_atom_site_label
_atom_site_fract_x
_atom_site_fract_y
_atom_site_fract_z
Ca1 0.500 0.500 0.500
Co1 0.000 0.000 0.000
F1 0.000 0.500 0.000
F2 0.000 0.000 0.500
F3 0.500 0.000 0.000

Which is the most stable structure? model x is the most stable.

Model w:
# CaCo3F | Alexandria via LeMat-Bulk | GGA+U | optimized geometry
# Symmetry   No. 221
# Crystal system   cubic
# ρ   2.703 Mg/m³
# Total magnetization   1.559 μB per atom
data_CaCo3F
_chemical_formula_sum 'Ca1 Co3 F1'
_space_group_name_H-M_alt 'P 1'
_space_group_IT_number 1
_cell_length_a 5.253
_cell_length_b 5.253
_cell_length_c 5.253
_cell_angle_alpha 90.00
_cell_angle_beta 90.00
_cell_angle_gamma 90.00
loop_
_space_group_symop_operation_xyz
'x,y,z'
loop_
_atom_site_label
_atom_site_fract_x
_atom_site_fract_y
_atom_site_fract_z
Ca1 0.000 0.000 0.000
Co1 0.000 0.500 0.000
Co2 0.000 0.000 0.500
Co3 0.500 0.000 0.000
F1 0.500 0.500 0.500

Model x:
# CaCo3F | Alexandria via LeMat-Bulk | GGA+U | optimized geometry
# Symmetry   No. 221
# Crystal system   cubic
# ρ   4.636 Mg/m³
# Total magnetization   0.977 μB per atom
data_CaCo3F
_chemical_formula_sum 'Ca1 Co3 F1'
_space_group_name_H-M_alt 'P 1'
_space_group_IT_number 1
_cell_length_a 4.388
_cell_length_b 4.388
_cell_length_c 4.388
_cell_angle_alpha 90.00
_cell_angle_beta 90.00
_cell_angle_gamma 90.00
loop_
_space_group_symop_operation_xyz
'x,y,z'
loop_
_atom_site_label
_atom_site_fract_x
_atom_site_fract_y
_atom_site_fract_z
Ca1 0.500 0.500 0.500
Co1 0.000 0.500 0.000
Co2 0.000 0.000 0.500
Co3 0.500 0.000 0.000
F1 0.000 0.000 0.000

Which is the most stable structure? model x is the most stable.